1.
Compound: TbHfNp2N4
Source: the Alexandria database
Functional: PBE-GGA
Structure: relaxed

Computed properties:
As for the space-group type: P2/m. The value obtained for the volume is 13.8 A^3/atom. Its formation energy from raw total energies is -1.409 eV/atom.

a = 5.8774 Å, b = 3.3720 Å, c = 5.9011 Å
α = 90.00°, β = 109.14°, γ = 90.00°
Closest atoms and distances in Å follow each position.
Fractional positions:
Tb: 0.0000 0.0000 0.0000  6 N 2.44-2.45
Hf: 0.5000 0.5000 0.0000  6 N 2.30-2.32
Np: 0.0000 0.5000 0.5000  6 N 2.49-2.50
Np: 0.5000 0.0000 0.5000  6 N 2.36
N: 0.2693 0.5000 0.2489  1 Hf 2.30, 3 Np 2.36-2.50, 2 Tb 2.45
N: 0.2717 0.0000 0.7635  2 Hf 2.32, 3 Np 2.36-2.49, 1 Tb 2.44
N: 0.7283 0.0000 0.2365  2 Hf 2.32, 3 Np 2.36-2.49, 1 Tb 2.44
N: 0.7307 0.5000 0.7511  1 Hf 2.30, 3 Np 2.36-2.50, 2 Tb 2.45

---

2.
Compound: HfThNp2N4
Source: the Alexandria database
Functional: PBE-GGA
Structure: relaxed

Computed properties:
As for the space-group type: P2/m. The value obtained for the volume is 14.4 A^3/atom. Its formation energy from raw total energies is -1.347 eV/atom.

a = 5.8972 Å, b = 3.4083 Å, c = 6.0550 Å
α = 90.00°, β = 108.74°, γ = 90.00°
Closest atoms and distances in Å follow each position.
Fractional positions:
Hf: 0.0000 0.0000 0.0000  6 N 2.29-2.33
Th: 0.0000 0.5000 0.5000  6 N 2.53-2.54
Np: 0.5000 0.0000 0.5000  6 N 2.55-2.58
Np: 0.5000 0.5000 0.0000  6 N 2.34-2.35
N: 0.2375 0.5000 0.2193  2 Hf 2.33, 3 Np 2.34-2.55, 1 Th 2.53
N: 0.2540 0.0000 0.7834  1 Hf 2.29, 2 Np 2.35, 2 Th 2.54
N: 0.7460 0.0000 0.2166  1 Hf 2.29, 2 Np 2.35, 2 Th 2.54
N: 0.7625 0.5000 0.7807  2 Hf 2.33, 3 Np 2.34-2.55, 1 Th 2.53

---

3.
Compound: Hf2Np3TiN6
Source: the Alexandria database
Functional: PBE-GGA
Structure: relaxed

Computed properties:
As for the space-group type: C2/m. The value obtained for the volume is 12.6 A^3/atom. Its formation energy from raw total energies is -1.443 eV/atom.

a = 5.6097 Å, b = 5.6097 Å, c = 5.8466 Å
α = 99.20°, β = 99.20°, γ = 119.99°
Closest atoms and distances in Å follow each position.
Fractional positions:
Hf: 0.1668 0.8332 0.0000  6 N 2.25
Hf: 0.8332 0.1668 0.0000  6 N 2.25
Np: 0.0000 0.0000 0.5000  6 N 2.41-2.44
Np: 0.3345 0.6655 0.5000  6 N 2.41-2.45
Np: 0.6655 0.3345 0.5000  6 N 2.41-2.45
Ti: 0.5000 0.5000 0.0000  6 N 2.22
N: 0.0969 0.4261 0.7780  1 Ti 2.22, 2 Hf 2.25, 3 Np 2.41-2.45
N: 0.2446 0.2446 0.2216  1 Ti 2.22, 2 Hf 2.25, 3 Np 2.41-2.44
N: 0.4261 0.0969 0.7780  1 Ti 2.22, 2 Hf 2.25, 3 Np 2.41-2.45
N: 0.5739 0.9031 0.2220  1 Ti 2.22, 2 Hf 2.25, 3 Np 2.41-2.45
N: 0.7554 0.7554 0.7784  1 Ti 2.22, 2 Hf 2.25, 3 Np 2.41-2.44
N: 0.9031 0.5739 0.2220  1 Ti 2.22, 2 Hf 2.25, 3 Np 2.41-2.45

---

4.
Compound: TmHfNp2N4
Source: the Alexandria database
Functional: PBE-GGA
Structure: relaxed

Computed properties:
As for the space-group type: P2/m. The value obtained for the volume is 13.5 A^3/atom. Its formation energy from raw total energies is -1.452 eV/atom.

a = 5.8085 Å, b = 3.3447 Å, c = 5.8977 Å
α = 90.00°, β = 109.07°, γ = 90.00°
Closest atoms and distances in Å follow each position.
Fractional positions:
Tm: 0.0000 0.0000 0.0000  6 N 2.38-2.39
Hf: 0.5000 0.5000 0.0000  6 N 2.29-2.30
Np: 0.0000 0.5000 0.5000  6 N 2.47
Np: 0.5000 0.0000 0.5000  6 N 2.38-2.39
N: 0.2602 0.5000 0.2410  1 Hf 2.29, 3 Np 2.38-2.47, 2 Tm 2.39
N: 0.2672 0.0000 0.7672  2 Hf 2.30, 1 Tm 2.38, 3 Np 2.39-2.47
N: 0.7328 0.0000 0.2328  2 Hf 2.30, 1 Tm 2.38, 3 Np 2.39-2.47
N: 0.7398 0.5000 0.7590  1 Hf 2.29, 3 Np 2.38-2.47, 2 Tm 2.39

---

5.
Compound: TmHf2Np3N6
Source: the Alexandria database
Functional: PBE-GGA
Structure: relaxed

Computed properties:
As for the space-group type: C2/m. The value obtained for the volume is 13.3 A^3/atom. Its formation energy from raw total energies is -1.463 eV/atom.

a = 5.7518 Å, b = 5.7518 Å, c = 5.8989 Å
α = 99.34°, β = 99.34°, γ = 120.01°
Closest atoms and distances in Å follow each position.
Fractional positions:
Tm: 0.0000 0.0000 0.0000  6 N 2.36-2.37
Hf: 0.3331 0.6669 0.0000  6 N 2.28-2.29
Hf: 0.6669 0.3331 0.0000  6 N 2.28-2.29
Np: 0.1643 0.8357 0.5000  6 N 2.39-2.46
Np: 0.5000 0.5000 0.5000  6 N 2.39-2.46
Np: 0.8357 0.1643 0.5000  6 N 2.39-2.46
N: 0.0778 0.4231 0.2332  2 Hf 2.29, 1 Tm 2.37, 3 Np 2.39-2.46
N: 0.2690 0.2690 0.7706  2 Hf 2.28, 1 Tm 2.36, 3 Np 2.39-2.45
N: 0.4231 0.0778 0.2332  2 Hf 2.29, 1 Tm 2.37, 3 Np 2.39-2.46
N: 0.5769 0.9222 0.7668  2 Hf 2.29, 1 Tm 2.37, 3 Np 2.39-2.46
N: 0.7310 0.7310 0.2294  2 Hf 2.28, 1 Tm 2.36, 3 Np 2.39-2.45
N: 0.9222 0.5769 0.7668  2 Hf 2.29, 1 Tm 2.37, 3 Np 2.39-2.46

---

6.
Compound: HfNpU2N4
Source: the Alexandria database
Functional: PBE-GGA
Structure: relaxed

Computed properties:
As for the space-group type: P2/m. The value obtained for the volume is 13.7 A^3/atom. Its formation energy from raw total energies is -1.398 eV/atom.

a = 5.8423 Å, b = 3.3539 Å, c = 5.8936 Å
α = 90.00°, β = 108.92°, γ = 90.00°
Closest atoms and distances in Å follow each position.
Fractional positions:
Hf: 0.0000 0.0000 0.0000  6 N 2.28-2.31
Np: 0.0000 0.5000 0.5000  6 N 2.42
U: 0.5000 0.0000 0.5000  6 N 2.48-2.50
U: 0.5000 0.5000 0.0000  6 N 2.36-2.37
N: 0.2355 0.5000 0.2292  2 Hf 2.31, 3 U 2.36-2.48, 1 Np 2.42
N: 0.2424 0.0000 0.7658  1 Hf 2.28, 3 U 2.37-2.50, 2 Np 2.42
N: 0.7576 0.0000 0.2342  1 Hf 2.28, 3 U 2.37-2.50, 2 Np 2.42
N: 0.7645 0.5000 0.7708  2 Hf 2.31, 3 U 2.36-2.48, 1 Np 2.42

---

7.
Compound: YHfNp2N4
Source: the Alexandria database
Functional: PBE-GGA
Structure: relaxed

Computed properties:
As for the space-group type: P2/m. The value obtained for the volume is 13.8 A^3/atom. Its formation energy from raw total energies is -1.414 eV/atom.

a = 5.8634 Å, b = 3.3683 Å, c = 5.9045 Å
α = 90.00°, β = 109.15°, γ = 90.00°
Closest atoms and distances in Å follow each position.
Fractional positions:
Y: 0.0000 0.0000 0.0000  6 N 2.43
Hf: 0.5000 0.5000 0.0000  6 N 2.30-2.31
Np: 0.0000 0.5000 0.5000  6 N 2.48-2.49
Np: 0.5000 0.0000 0.5000  6 N 2.36-2.37
N: 0.2674 0.5000 0.2476  1 Hf 2.30, 3 Np 2.36-2.49, 2 Y 2.43
N: 0.2707 0.0000 0.7642  2 Hf 2.31, 3 Np 2.37-2.48, 1 Y 2.43
N: 0.7293 0.0000 0.2358  2 Hf 2.31, 3 Np 2.37-2.48, 1 Y 2.43
N: 0.7326 0.5000 0.7524  1 Hf 2.30, 3 Np 2.36-2.49, 2 Y 2.43

---

8.
Compound: Y3HfNp3N8
Source: the Alexandria database
Functional: PBE-GGA
Structure: relaxed

Computed properties:
As for the space-group type: R-3m. The value obtained for the volume is 15.0 A^3/atom. Its formation energy from raw total energies is -1.349 eV/atom.

a = 6.8573 Å, b = 6.8573 Å, c = 6.8573 Å
α = 59.47°, β = 59.47°, γ = 59.47°
Closest atoms and distances in Å follow each position.
Fractional positions:
Y: 0.0000 0.5000 0.5000  6 N 2.42-2.50
Y: 0.5000 0.0000 0.5000  6 N 2.42-2.50
Y: 0.5000 0.5000 0.0000  6 N 2.42-2.50
Hf: 0.5000 0.5000 0.5000  6 N 2.22
Np: 0.0000 0.0000 0.5000  6 N 2.35-2.41
Np: 0.0000 0.5000 0.0000  6 N 2.35-2.41
Np: 0.5000 0.0000 0.0000  6 N 2.35-2.41
N: 0.2494 0.2494 0.2494  3 Np 2.41, 3 Y 2.42
N: 0.2548 0.7294 0.7294  1 Hf 2.22, 2 Np 2.35
N: 0.2706 0.2706 0.7452  1 Hf 2.22, 2 Np 2.35
N: 0.2706 0.7452 0.2706  1 Hf 2.22, 2 Np 2.35
N: 0.7294 0.2548 0.7294  1 Hf 2.22, 2 Np 2.35
N: 0.7294 0.7294 0.2548  1 Hf 2.22, 2 Np 2.35
N: 0.7452 0.2706 0.2706  1 Hf 2.22, 2 Np 2.35
N: 0.7506 0.7506 0.7506  3 Np 2.41, 3 Y 2.42

---

9.
Compound: Y2HfNpN4
Source: the Alexandria database
Functional: PBE-GGA
Structure: relaxed

Computed properties:
As for the space-group type: P2/m. The value obtained for the volume is 13.8 A^3/atom. Its formation energy from raw total energies is -1.574 eV/atom.

a = 5.8729 Å, b = 3.3851 Å, c = 5.8814 Å
α = 90.00°, β = 108.99°, γ = 90.00°
Closest atoms and distances in Å follow each position.
Fractional positions:
Y: 0.0000 0.0000 0.0000  6 N 2.44
Y: 0.5000 0.5000 0.0000  6 N 2.50
Hf: 0.0000 0.5000 0.5000  6 N 2.29-2.31
Np: 0.5000 0.0000 0.5000  6 N 2.35-2.37
N: 0.2360 0.0000 0.7260  2 Hf 2.31, 1 Np 2.35, 3 Y 2.44-2.50
N: 0.2458 0.5000 0.2680  1 Hf 2.29, 2 Np 2.37, 3 Y 2.44-2.50
N: 0.7542 0.5000 0.7320  1 Hf 2.29, 2 Np 2.37, 3 Y 2.44-2.50
N: 0.7640 0.0000 0.2740  2 Hf 2.31, 1 Np 2.35, 3 Y 2.44-2.50

---

Magnetic moment per entry: 6.2 6.3 9.1 6.3 9.4 5.4 6.3 9.5 3.2 μB/cell